Record 1
A plane-wave DFT calculation with PBE was carried out for crystalline Ta2TlZn at its relaxed geometry.

Calculated values
- ΔE_f: 0.41 eV/atom
- Crystal system: orthorhombic
- Total DFT energy (no corrections): -6.429 eV/atom
- Spin magnetization: 0.00 μB per atom

Lattice parameters (Å, degrees): 5.3488 5.3488 5.3488 141.09 128.75 66.16
Positions (direct):
Ta: 0.9967 0.9967 0.0000
Ta: 0.2420 0.7420 0.5000
Tl: 0.5097 0.5097 0.0000
Zn: 0.7516 0.2516 0.5000

Record 2
A plane-wave DFT calculation with PBE was carried out for crystalline Li2BeAl at its relaxed geometry.

Calculated values
- ΔE to the lowest computed polymorph: 161 meV/atom
- ΔE_f: 0.13 eV/atom
- Crystal system: orthorhombic
- Total DFT energy (no corrections): -2.696 eV/atom
- Spin magnetization: 0.00 μB per atom

Lattice parameters (Å, degrees): 2.6234 4.2059 5.0826 90.00 90.00 90.00
Positions (direct):
Al: 0.5000 0.5000 0.2500
Be: 0.5000 0.5000 0.7500
Li: 0.0000 0.0000 0.9895
Li: 0.0000 0.0000 0.5105